Entry from Alexandria via LeMat-Bulk: crystalline Mg3FeO4 at its relaxed geometry (PBE with a Hubbard U).

ρ (Mg/m³): 4.1
Uncorrected energy (eV per atom): -6.005
DOS(E_F) (states/eV per atom): 0.2334
Crystal system: cubic

Lattice parameters (Å, degrees): 4.2809 4.2809 4.2809 90.00 90.00 90.00
Closest atoms and distances in Å follow each position.
Atoms (fractional coordinates):
Mg 0.0000 0.0000 0.5000  6 O 2.14
Mg 0.0000 0.5000 0.0000  6 O 2.14
Mg 0.5000 0.0000 0.0000  6 O 2.14
Fe 0.5000 0.5000 0.5000  6 O 2.14
O 0.0000 0.0000 0.0000  6 Mg 2.14
O 0.0000 0.5000 0.5000  2 Fe 2.14, 4 Mg 2.14
O 0.5000 0.0000 0.5000  2 Fe 2.14, 4 Mg 2.14
O 0.5000 0.5000 0.0000  2 Fe 2.14, 4 Mg 2.14